[1]
The following is a DFT calculation (PBE-GGA) of crystalline Na2Tl5Cd2 at its relaxed geometry.

Cell: 9.263 9.263 7.897 Å, 90.00 90.00 52.34°
Fractional positions:
Na 0.219 0.219 0.000
Na 0.281 0.281 0.500
Na 0.719 0.719 0.500
Na 0.781 0.781 0.000
Tl 0.000 0.000 0.000
Tl 0.052 0.694 0.673
Tl 0.194 0.552 0.173
Tl 0.306 0.948 0.673
Tl 0.448 0.806 0.173
Tl 0.500 0.500 0.500
Tl 0.552 0.194 0.827
Tl 0.694 0.052 0.327
Tl 0.806 0.448 0.827
Tl 0.948 0.306 0.327
Cd 0.126 0.874 0.372
Cd 0.374 0.626 0.872
Cd 0.626 0.374 0.128
Cd 0.874 0.126 0.628

Summary:
Excess energy over the best structure of this formula in the dataset ... 0.36 eV per formula unit
Energy of formation ... -0.008 eV/atom
Space-group type ... Cmce
Theoretical density ... 8.00 g/cm³

[2]
The following is a DFT calculation (PBE-GGA) of crystalline Na2Tl2Cd at its relaxed geometry.

Cell: 8.034 8.034 4.509 Å, 90.00 90.00 90.00°
Fractional positions:
Na 0.163 0.337 0.000
Na 0.337 0.837 0.000
Na 0.663 0.163 0.000
Na 0.837 0.663 0.000
Tl 0.140 0.640 0.500
Tl 0.360 0.140 0.500
Tl 0.640 0.860 0.500
Tl 0.860 0.360 0.500
Cd 0.000 0.000 0.500
Cd 0.500 0.500 0.500

Summary:
Excess energy over the best structure of this formula in the dataset ... 0.20 eV per formula unit
Energy of formation ... -0.043 eV/atom
Space-group type ... P4/mbm
Theoretical density ... 6.47 g/cm³

[3]
The following is a DFT calculation (PBE-GGA) of crystalline Na3Tl6Cd2 at its relaxed geometry.

Cell: 8.270 8.270 11.322 Å, 91.90 91.90 24.59°
Fractional positions:
Na 0.000 0.000 0.000
Na 0.313 0.313 0.102
Na 0.687 0.687 0.898
Tl 0.048 0.048 0.729
Tl 0.279 0.279 0.378
Tl 0.365 0.365 0.803
Tl 0.635 0.635 0.197
Tl 0.721 0.721 0.622
Tl 0.952 0.952 0.271
Cd 0.091 0.091 0.454
Cd 0.909 0.909 0.546

Summary:
Energy of formation ... -0.019 eV/atom
Space-group type ... C2/m
Theoretical density ... 7.84 g/cm³

[4]
The following is a DFT calculation (PBE-GGA) of crystalline Na15TlCd4 at its relaxed geometry.

Cell: 5.203 5.203 22.152 Å, 90.00 90.00 90.00°
Fractional positions:
Na 0.000 0.000 0.000
Na 0.000 0.000 0.199
Na 0.000 0.000 0.400
Na 0.000 0.000 0.600
Na 0.000 0.000 0.801
Na 0.000 0.500 0.099
Na 0.000 0.500 0.299
Na 0.000 0.500 0.500
Na 0.000 0.500 0.701
Na 0.000 0.500 0.901
Na 0.500 0.000 0.099
Na 0.500 0.000 0.299
Na 0.500 0.000 0.500
Na 0.500 0.000 0.701
Na 0.500 0.000 0.901
Tl 0.500 0.500 0.000
Cd 0.500 0.500 0.199
Cd 0.500 0.500 0.400
Cd 0.500 0.500 0.600
Cd 0.500 0.500 0.801

Summary:
Energy of formation ... -0.047 eV/atom
Space-group type ... P4/mmm
Theoretical density ... 2.77 g/cm³

[5]
The following is a DFT calculation (PBE-GGA) of crystalline Na8TlCd6 at its relaxed geometry.

Cell: 7.800 7.800 7.800 Å, 75.31 75.31 75.31°
Fractional positions:
Na 0.118 0.118 0.118
Na 0.205 0.578 0.214
Na 0.214 0.205 0.578
Na 0.422 0.786 0.795
Na 0.578 0.214 0.205
Na 0.786 0.795 0.422
Na 0.795 0.422 0.786
Na 0.882 0.882 0.882
Tl 0.500 0.500 0.500
Cd 0.164 0.834 0.501
Cd 0.166 0.499 0.836
Cd 0.499 0.836 0.166
Cd 0.501 0.164 0.834
Cd 0.834 0.501 0.164
Cd 0.836 0.166 0.499

Summary:
Excess energy over the best structure of this formula in the dataset ... 0.00 eV per formula unit
Energy of formation ... -0.048 eV/atom
Space-group type ... R-3
Theoretical density ... 4.06 g/cm³

[6]
The following is a DFT calculation (PBE-GGA) of crystalline Na3Tl2Cd3 at its relaxed geometry.

Cell: 7.824 7.824 4.187 Å, 90.00 90.00 120.00°
Fractional positions:
Na 0.000 0.386 0.000
Na 0.386 0.000 0.000
Na 0.614 0.614 0.000
Tl 0.333 0.667 0.500
Tl 0.667 0.333 0.500
Cd 0.000 0.776 0.500
Cd 0.224 0.224 0.500
Cd 0.776 0.000 0.500

Summary:
Excess energy over the best structure of this formula in the dataset ... 0.11 eV per formula unit
Energy of formation ... -0.057 eV/atom
Space-group type ... P-62m
Theoretical density ... 6.10 g/cm³

[7]
The following is a DFT calculation (PBE-GGA) of crystalline Na2Tl5Cd at its relaxed geometry.

Cell: 9.069 9.069 9.069 Å, 127.25 127.25 77.84°
Fractional positions:
Na 0.143 0.643 0.785
Na 0.357 0.143 0.500
Na 0.643 0.857 0.500
Na 0.857 0.357 0.215
Tl 0.000 0.000 0.000
Tl 0.009 0.816 0.500
Tl 0.184 0.684 0.193
Tl 0.316 0.509 0.500
Tl 0.491 0.991 0.807
Tl 0.500 0.500 0.000
Tl 0.509 0.009 0.193
Tl 0.684 0.491 0.500
Tl 0.816 0.316 0.807
Tl 0.991 0.184 0.500
Cd 0.250 0.250 0.000
Cd 0.750 0.750 0.000

Summary:
Excess energy over the best structure of this formula in the dataset ... 0.36 eV per formula unit
Energy of formation ... -0.014 eV/atom
Space-group type ... I4/mcm
Theoretical density ... 8.56 g/cm³

[8]
The following is a DFT calculation (PBE-GGA) of crystalline Na5TlCd2 at its relaxed geometry.

Cell: 9.219 9.219 9.219 Å, 127.04 127.04 78.18°
Fractional positions:
Na 0.000 0.000 0.000
Na 0.012 0.512 0.830
Na 0.182 0.012 0.500
Na 0.318 0.818 0.830
Na 0.488 0.318 0.500
Na 0.500 0.500 0.000
Na 0.512 0.682 0.500
Na 0.682 0.182 0.170
Na 0.818 0.988 0.500
Na 0.988 0.488 0.170
Tl 0.250 0.250 0.000
Tl 0.750 0.750 0.000
Cd 0.129 0.371 0.500
Cd 0.371 0.871 0.241
Cd 0.629 0.129 0.759
Cd 0.871 0.629 0.500

Summary:
Excess energy over the best structure of this formula in the dataset ... 0.00 eV per formula unit
Energy of formation ... -0.050 eV/atom
Space-group type ... I4/mcm
Theoretical density ... 3.74 g/cm³